1.
A plane-wave DFT calculation with PBE-GGA was carried out for a geometry-optimized Mg5Cu structure.

Lattice parameters (Å, degrees): 5.3304 5.3304 4.8841 90.00 90.00 120.00
Last column: nearest neighbours and their distance in Å.
Fractional coordinates of all 6 atoms:
Mg 0.0000 0.6827 0.0000  10 Mg 2.93-3.15, 2 Cu 2.97
Mg 0.3173 0.3173 0.0000  10 Mg 2.93-3.15, 2 Cu 2.97
Mg 0.3333 0.6667 0.5000  9 Mg 3.05-3.08, 3 Cu 3.08
Mg 0.6667 0.3333 0.5000  9 Mg 3.05-3.08, 3 Cu 3.08
Mg 0.6827 0.0000 0.0000  10 Mg 2.93-3.15, 2 Cu 2.97
Cu 0.0000 0.0000 0.5000  12 Mg 2.97-3.08

As for the space group: P-62m (189). Its calculated total energy is -1.893 eV per atom. Its crystal system is hexagonal.

2.
A plane-wave DFT calculation with PBE-GGA was carried out for a geometry-optimized HoCdInTe3 structure.

Lattice parameters (Å, degrees): 15.2237 4.4524 11.8798 90.00 90.00 90.00
Last column: nearest neighbours and their distance in Å.
Fractional coordinates of all 24 atoms:
Ho 0.0257 0.2500 0.1563  6 Te 3.03-3.21
Ho 0.4743 0.7500 0.6563  6 Te 3.03-3.21
Ho 0.5257 0.2500 0.3437  6 Te 3.03-3.21
Ho 0.9743 0.7500 0.8437  6 Te 3.03-3.21
Cd 0.0206 0.7500 0.3989  4 Te 2.84-2.94
Cd 0.4794 0.2500 0.8989  4 Te 2.84-2.94
Cd 0.5206 0.7500 0.1011  4 Te 2.84-2.94
Cd 0.9794 0.2500 0.6011  4 Te 2.84-2.94
In 0.2413 0.2500 0.4519  2 Te 3.28
In 0.2587 0.7500 0.9519  2 Te 3.28
In 0.7413 0.2500 0.0481  2 Te 3.28
In 0.7587 0.7500 0.5481  2 Te 3.28
Te 0.0988 0.7500 0.6256  3 Cd 2.89-2.94, 1 Ho 3.21
Te 0.1023 0.2500 0.9213  3 Ho 3.03-3.10, 2 In 3.28
Te 0.1543 0.7500 0.2326  1 Cd 2.84, 2 Ho 3.10
Te 0.3457 0.2500 0.7326  1 Cd 2.84, 2 Ho 3.10
Te 0.3977 0.7500 0.4213  3 Ho 3.03-3.10, 2 In 3.28
Te 0.4012 0.2500 0.1256  3 Cd 2.89-2.94, 1 Ho 3.21
Te 0.5988 0.7500 0.8744  3 Cd 2.89-2.94, 1 Ho 3.21
Te 0.6023 0.2500 0.5787  3 Ho 3.03-3.10, 2 In 3.28
Te 0.6543 0.7500 0.2674  1 Cd 2.84, 2 Ho 3.10
Te 0.8457 0.2500 0.7674  1 Cd 2.84, 2 Ho 3.10
Te 0.8977 0.7500 0.0787  3 Ho 3.03-3.10, 2 In 3.28
Te 0.9012 0.2500 0.3744  3 Cd 2.89-2.94, 1 Ho 3.21

As for the space group: Pnma (62). The value obtained for the energy above the most stable polymorph in this dataset is 0.16 kJ/mol of atoms. Its crystal system is orthorhombic.

3.
A plane-wave DFT calculation with PBE-GGA was carried out for a geometry-optimized BPdPt2 structure.

Lattice parameters (Å, degrees): 5.5718 7.9135 4.8590 90.00 90.00 90.00
Last column: nearest neighbours and their distance in Å.
Fractional coordinates of all 16 atoms:
B 0.1033 0.2500 0.0880  4 Pt 2.15-2.18, 2 Pd 2.16-2.38
B 0.3967 0.7500 0.5880  4 Pt 2.15-2.18, 2 Pd 2.16-2.38
B 0.6033 0.2500 0.4120  4 Pt 2.15-2.18, 2 Pd 2.16-2.38
B 0.8967 0.7500 0.9120  4 Pt 2.15-2.18, 2 Pd 2.16-2.38
Pd 0.0362 0.7500 0.3262  2 B 2.16-2.38
Pd 0.4638 0.2500 0.8262  2 B 2.16-2.38
Pd 0.5362 0.7500 0.1738  2 B 2.16-2.38
Pd 0.9638 0.2500 0.6738  2 B 2.16-2.38
Pt 0.1804 0.5713 0.8117  2 B 2.15-2.18
Pt 0.1804 0.9287 0.8117  2 B 2.15-2.18
Pt 0.3196 0.0713 0.3117  2 B 2.15-2.18
Pt 0.3196 0.4287 0.3117  2 B 2.15-2.18
Pt 0.6804 0.5713 0.6883  2 B 2.15-2.18
Pt 0.6804 0.9287 0.6883  2 B 2.15-2.18
Pt 0.8196 0.0713 0.1883  2 B 2.15-2.18
Pt 0.8196 0.4287 0.1883  2 B 2.15-2.18

As for the space group: Pnma (62). Its calculated total energy is -6.225 eV per atom. Its crystal system is orthorhombic.

4.
A plane-wave DFT calculation with PBE-GGA was carried out for a geometry-optimized Y3Fe8Co structure.

Lattice parameters (Å, degrees): 8.5832 8.5832 8.5832 34.35 34.35 34.35
Last column: nearest neighbours and their distance in Å.
Fractional coordinates of all 12 atoms:
Y 0.0000 0.0000 0.0000  18 Fe 2.93-3.21
Y 0.1420 0.1420 0.1420  9 Fe 2.93-3.04, 3 Co 2.99, 3 Y 3.16
Y 0.8580 0.8580 0.8580  9 Fe 2.93-3.04, 3 Co 2.99, 3 Y 3.16
Fe 0.0820 0.5808 0.5808  6 Fe 2.44-2.54, 1 Co 2.53
Fe 0.3326 0.3326 0.3326  6 Fe 2.44-2.46
Fe 0.4192 0.4192 0.9180  6 Fe 2.44-2.54, 1 Co 2.53
Fe 0.4192 0.9180 0.4192  6 Fe 2.44-2.54, 1 Co 2.53
Fe 0.5808 0.0820 0.5808  6 Fe 2.44-2.54, 1 Co 2.53
Fe 0.5808 0.5808 0.0820  6 Fe 2.44-2.54, 1 Co 2.53
Fe 0.6674 0.6674 0.6674  6 Fe 2.44-2.46
Fe 0.9180 0.4192 0.4192  6 Fe 2.44-2.54, 1 Co 2.53
Co 0.5000 0.5000 0.5000  6 Fe 2.53

As for the space group: R-3m (166). Its calculated total energy is -7.839 eV per atom. Its crystal system is trigonal.

5.
A plane-wave DFT calculation with PBE-GGA was carried out for a geometry-optimized SiSnMo4N2 structure.

Lattice parameters (Å, degrees): 3.2776 3.2776 12.1362 90.00 90.00 120.00
Last column: nearest neighbours and their distance in Å.
Fractional coordinates of all 8 atoms:
Si 0.0000 0.0000 0.0000  6 Mo 2.56
Sn 0.6667 0.3333 0.5000  6 Mo 2.99, 6 Sn 3.28
Mo 0.0000 0.0000 0.3094  3 N 2.03
Mo 0.0000 0.0000 0.6906  3 N 2.03
Mo 0.6667 0.3333 0.1419  3 N 2.29, 3 Si 2.56
Mo 0.6667 0.3333 0.8581  3 N 2.29, 3 Si 2.56
N 0.3333 0.6667 0.2487  3 Mo 2.03
N 0.3333 0.6667 0.7513  3 Mo 2.03

As for the space group: P-6m2 (187). Its calculated total energy is -8.762 eV per atom. Its crystal system is hexagonal.

6.
A plane-wave DFT calculation with PBE-GGA was carried out for a geometry-optimized YHo2Cu4Ge4 structure.

Lattice parameters (Å, degrees): 7.9921 7.9921 7.9921 149.61 130.78 58.95
Last column: nearest neighbours and their distance in Å.
Fractional coordinates of all 11 atoms:
Y 0.0000 0.0000 0.0000  6 Ge 2.94-3.02
Ho 0.3700 0.8700 0.5000  6 Cu 2.99-3.07, 6 Ge 2.99-3.05
Ho 0.6300 0.1300 0.5000  6 Cu 2.99-3.07, 6 Ge 2.99-3.05
Cu 0.0213 0.3308 0.6905  4 Ge 2.48-2.60, 1 Cu 2.54
Cu 0.3596 0.6692 0.6905  4 Ge 2.48-2.60, 1 Cu 2.54
Cu 0.6404 0.3308 0.3095  4 Ge 2.48-2.60, 1 Cu 2.54
Cu 0.9787 0.6692 0.3095  4 Ge 2.48-2.60, 1 Cu 2.54
Ge 0.2168 0.2168 0.0000  6 Cu 2.54-2.60
Ge 0.3089 0.5000 0.8089  2 Cu 2.48, 1 Ge 2.54
Ge 0.6911 0.5000 0.1911  2 Cu 2.48, 1 Ge 2.54
Ge 0.7832 0.7832 0.0000  6 Cu 2.54-2.60

As for the space group: Immm (71). Its calculated total energy is -5.089 eV per atom. Its crystal system is orthorhombic.

7.
A plane-wave DFT calculation with PBE-GGA was carried out for a geometry-optimized HoThW structure.

Lattice parameters (Å, degrees): 4.9042 4.9042 4.9042 60.00 60.00 60.00
Last column: nearest neighbours and their distance in Å.
Fractional coordinates of all 3 atoms:
Ho 0.0000 0.0000 0.0000  4 W 3.00
Th 0.5000 0.5000 0.5000  4 W 3.00
W 0.7500 0.7500 0.7500  4 Ho 3.00, 4 Th 3.00

As for the space group: F-43m (216). Its calculated total energy is -7.772 eV per atom. Its crystal system is cubic.

8.
A plane-wave DFT calculation with PBE-GGA was carried out for a geometry-optimized SmSi2 structure.

Lattice parameters (Å, degrees): 7.6183 7.6183 7.6183 148.43 148.43 45.25
Last column: nearest neighbours and their distance in Å.
Fractional coordinates of all 6 atoms:
Sm 0.3750 0.6250 0.7500  12 Si 3.12-3.16
Sm 0.6250 0.3750 0.2500  12 Si 3.12-3.16
Si 0.0409 0.7909 0.2500  3 Si 2.37
Si 0.2091 0.9591 0.2500  3 Si 2.37
Si 0.7909 0.0409 0.7500  3 Si 2.37
Si 0.9591 0.2091 0.7500  3 Si 2.37

As for the space group: I4_1/amd (141). Its calculated total energy is -5.774 eV per atom. Its crystal system is tetragonal.

9.
A plane-wave DFT calculation with PBE-GGA was carried out for a geometry-optimized CuSn structure.

Lattice parameters (Å, degrees): 4.1748 4.1748 5.0679 90.00 90.00 120.00
Last column: nearest neighbours and their distance in Å.
Fractional coordinates of all 4 atoms:
Cu 0.0000 0.0000 0.0000  2 Cu 2.53, 6 Sn 2.72
Cu 0.0000 0.0000 0.5000  2 Cu 2.53, 6 Sn 2.72
Sn 0.3333 0.6667 0.2500  6 Cu 2.72
Sn 0.6667 0.3333 0.7500  6 Cu 2.72

As for the space group: P6_3/mmc (194). Its calculated total energy is -3.888 eV per atom. Its crystal system is hexagonal.

10.
A plane-wave DFT calculation with PBE-GGA was carried out for a geometry-optimized NdSmCI structure.

Lattice parameters (Å, degrees): 8.0357 8.0357 8.0357 27.81 27.81 27.81
Last column: nearest neighbours and their distance in Å.
Fractional coordinates of all 4 atoms:
Nd 0.0000 0.0000 0.0000  3 C 2.62
Sm 0.5516 0.5516 0.5516  3 C 2.57
C 0.2736 0.2736 0.2736  3 Sm 2.57, 3 Nd 2.62
I 0.7767 0.7767 0.7767  3 Sm 3.36, 3 Nd 3.39

As for the space group: R3m (160). Its calculated total energy is -5.768 eV per atom. Its crystal system is trigonal.

11.
A plane-wave DFT calculation with PBE-GGA was carried out for a geometry-optimized ScAgBAu structure.

Lattice parameters (Å, degrees): 4.5030 4.5030 4.5030 60.00 60.00 60.00
Last column: nearest neighbours and their distance in Å.
Fractional coordinates of all 4 atoms:
Sc 0.0000 0.0000 0.0000  4 B 2.76, 4 Au 2.76
Ag 0.5000 0.5000 0.5000  4 B 2.76, 4 Au 2.76
B 0.7500 0.7500 0.7500  4 Ag 2.76, 4 Sc 2.76
Au 0.2500 0.2500 0.2500  4 Ag 2.76, 4 Sc 2.76

As for the space group: F-43m (216). The value obtained for the energy above the most stable polymorph in this dataset is 0.00 kJ/mol of atoms. Its crystal system is cubic.

12.
A plane-wave DFT calculation with PBE-GGA was carried out for a geometry-optimized GdSi2 structure.

Lattice parameters (Å, degrees): 5.3589 5.3589 5.3589 60.00 60.00 60.00
Last column: nearest neighbours and their distance in Å.
Fractional coordinates of all 6 atoms:
Gd 0.1250 0.1250 0.1250  12 Si 3.14, 4 Gd 3.28
Gd 0.8750 0.8750 0.8750  12 Si 3.14, 4 Gd 3.28
Si 0.0000 0.5000 0.5000  6 Si 2.68
Si 0.5000 0.0000 0.5000  6 Si 2.68
Si 0.5000 0.5000 0.0000  6 Si 2.68
Si 0.5000 0.5000 0.5000  6 Si 2.68

As for the space group: Fd-3m (227). Its calculated total energy is -5.482 eV per atom. Its crystal system is cubic.